1.
{
  "formula": "K2PrSmTe4",
  "functional": "PBE-GGA",
  "state": "optimized geometry",
  "cell": [[-1.529, -2.626, -3.469], [7.534, -1.481, -2.200], [-2.363, -6.119, 5.673]],
  "species": ["Te", "Te", "Te", "Te", "K", "K", "Pr", "Sm"],
  "fractional_positions": [[0.000, 0.258, 0.785], [0.500, 0.766, 0.787], [0.500, 0.234, 0.213], [0.000, 0.742, 0.215], [0.500, 0.000, 0.500], [0.000, 0.500, 0.500], [0.500, 0.500, 0.000], [0.000, 0.000, 0.000]],
  "sg": "P2/m",
  "formation_energy_uncorrected_kj_per_mol_fu": -1093,
  "total_energy_ev_per_atom": -4.4480,
  "crystal_system": "monoclinic"
}

---

2.
{
  "formula": "Tm8SbC4",
  "functional": "PBE-GGA",
  "state": "optimized geometry",
  "cell": [[-2.092, 2.822, 0.728], [-7.341, -2.079, -4.196], [-4.638, -2.997, 7.133]],
  "species": ["Tm", "Tm", "Tm", "Tm", "Tm", "Tm", "Tm", "Tm", "C", "C", "C", "C", "Sb"],
  "fractional_positions": [[0.852, 0.991, 0.305], [0.557, 0.652, 0.233], [0.219, 0.663, 0.900], [0.179, 0.013, 0.629], [0.883, 0.678, 0.556], [0.474, 0.351, 0.701], [0.148, 0.325, 0.378], [0.813, 0.341, 0.034], [0.183, 0.497, 0.138], [0.663, 0.165, 0.508], [0.368, 0.838, 0.425], [0.849, 0.507, 0.796], [0.516, 0.002, 0.967]],
  "dos_at_fermi_per_ev_cell": 10.0,
  "sg": "C2/m",
  "formation_energy_uncorrected_kj_per_mol_fu": -502,
  "total_energy_ev_per_atom": -6.3069,
  "e_above_lowest_polymorph_ev_per_atom": 0.0000,
  "crystal_system": "monoclinic"
}

---

3.
{
  "formula": "TaTlBr2",
  "functional": "PBE-GGA",
  "state": "optimized geometry",
  "cell": [[0.896, -3.433, 3.609], [1.376, 1.500, 4.634], [-3.215, -0.493, 3.878]],
  "species": ["Ta", "Br", "Br", "Tl"],
  "fractional_positions": [[0.000, 0.000, 0.000], [0.750, 0.750, 0.750], [0.250, 0.250, 0.250], [0.500, 0.500, 0.500]],
  "dos_at_fermi_per_ev_cell": 3.1,
  "sg": "Fm-3m",
  "formation_energy_uncorrected_kj_per_mol_fu": 260,
  "total_energy_ev_per_atom": -3.7178,
  "e_above_lowest_polymorph_ev_per_atom": 0.8783,
  "crystal_system": "cubic"
}

---

4.
{
  "formula": "Cs6CdPd",
  "functional": "PBE-GGA",
  "state": "optimized geometry",
  "cell": [[7.681, -8.045, 0.000], [7.681, 8.045, 0.000], [0.000, 0.000, 5.106]],
  "species": ["Cs", "Cs", "Cs", "Cs", "Cs", "Cs", "Pd", "Cd"],
  "fractional_positions": [[0.075, 0.342, 0.500], [0.498, 0.224, 0.000], [0.658, 0.925, 0.500], [0.043, 0.957, 0.500], [0.327, 0.673, 0.000], [0.776, 0.502, 0.000], [0.782, 0.218, 0.500], [0.841, 0.159, 0.000]],
  "dos_at_fermi_per_ev_cell": 5.3,
  "sg": "Amm2",
  "total_energy_ev_per_atom": -1.4283,
  "formation_energy_kj_per_mol_atoms": -2,
  "crystal_system": "orthorhombic"
}

---

5.
{
  "formula": "PmCo3Sn3",
  "functional": "PBE-GGA",
  "state": "optimized geometry",
  "cell": [[6.872, 0.000, 0.000], [0.000, 6.872, 0.000], [0.000, 0.000, 6.872]],
  "species": ["Sn", "Sn", "Sn", "Sn", "Sn", "Sn", "Co", "Co", "Co", "Co", "Co", "Co", "Pm", "Pm"],
  "fractional_positions": [[0.250, 0.500, 0.000], [0.500, 0.000, 0.750], [0.750, 0.500, 0.000], [0.500, 0.000, 0.250], [0.000, 0.750, 0.500], [0.000, 0.250, 0.500], [0.000, 0.500, 0.750], [0.500, 0.250, 0.000], [0.750, 0.000, 0.500], [0.000, 0.500, 0.250], [0.500, 0.750, 0.000], [0.250, 0.000, 0.500], [0.000, 0.000, 0.000], [0.500, 0.500, 0.500]],
  "dos_at_fermi_per_ev_cell": 18.2,
  "sg": "Pm-3n",
  "total_energy_ev_per_atom": -5.1321,
  "formation_energy_kj_per_mol_atoms": 30,
  "crystal_system": "cubic"
}

---

6.
{
  "formula": "BiTe2RhN",
  "functional": "PBE-GGA",
  "state": "optimized geometry",
  "cell": [[5.576, 0.000, 0.000], [0.000, 5.576, 0.000], [0.000, 0.000, 3.738]],
  "species": ["N", "Rh", "Te", "Te", "Bi"],
  "fractional_positions": [[0.000, 0.000, 0.500], [0.000, 0.000, 0.000], [0.500, 0.000, 0.000], [0.000, 0.500, 0.000], [0.500, 0.500, 0.500]],
  "dos_at_fermi_per_ev_cell": 3.1,
  "sg": "P4/mmm",
  "formation_energy_uncorrected_kj_per_mol_fu": 133,
  "total_energy_ev_per_atom": -4.8917,
  "e_above_lowest_polymorph_ev_per_atom": 0.0000,
  "crystal_system": "tetragonal"
}

---

7.
{
  "formula": "CsAcTeBr2",
  "functional": "PBE-GGA",
  "state": "optimized geometry",
  "cell": [[6.123, 0.000, 0.000], [0.000, 6.123, 0.000], [0.000, 0.000, 6.404]],
  "species": ["Br", "Br", "Ac", "Cs", "Te"],
  "fractional_positions": [[0.000, 0.500, 0.999], [0.500, 0.000, 0.999], [0.000, 0.000, 0.000], [0.500, 0.500, 0.502], [0.000, 0.000, 0.500]],
  "dos_at_fermi_per_ev_cell": 0.0,
  "sg": "P4mm",
  "formation_energy_uncorrected_kj_per_mol_fu": -822,
  "total_energy_ev_per_atom": -3.9933,
  "crystal_system": "tetragonal"
}

---

8.
{
  "formula": "PaPdF",
  "functional": "PBE-GGA",
  "state": "optimized geometry",
  "cell": [[-0.274, 3.676, -0.288], [-0.327, -0.312, -3.670], [-7.770, -0.537, 0.753]],
  "species": ["F", "F", "Pa", "Pa", "Pd", "Pd"],
  "fractional_positions": [[0.750, 0.250, 0.000], [0.250, 0.750, 0.000], [0.749, 0.749, 0.774], [0.251, 0.251, 0.226], [0.752, 0.752, 0.390], [0.248, 0.248, 0.610]],
  "dos_at_fermi_per_ev_cell": 8.3,
  "sg": "C2/m",
  "formation_energy_uncorrected_kj_per_mol_fu": -489,
  "total_energy_ev_per_atom": -7.2082,
  "crystal_system": "monoclinic"
}

---

9.
{
  "formula": "Li2GaCoH6",
  "functional": "PBE-GGA",
  "state": "optimized geometry",
  "cell": [[4.773, -0.004, 0.016], [-2.390, 4.177, -0.006], [-2.371, -1.386, 3.949]],
  "species": ["Li", "Li", "Co", "Ga", "H", "H", "H", "H", "H", "H"],
  "fractional_positions": [[0.491, 0.231, 0.736], [0.502, 0.765, 0.223], [0.996, 0.998, 0.980], [0.996, 0.498, 0.480], [0.540, 0.811, 0.800], [0.453, 0.184, 0.162], [0.983, 0.160, 0.693], [0.010, 0.835, 0.268], [0.074, 0.315, 0.185], [0.919, 0.681, 0.775]],
  "dos_at_fermi_per_ev_cell": 1.1,
  "sg": "P-1",
  "total_energy_ev_per_atom": -3.5230,
  "crystal_system": "triclinic"
}

---

10.
{
  "formula": "ZnAgBi2",
  "functional": "PBE-GGA",
  "state": "optimized geometry",
  "cell": [[3.412, 0.000, 0.000], [1.706, 2.955, 0.000], [1.706, 0.985, 10.560]],
  "species": ["Ag", "Bi", "Bi", "Zn"],
  "fractional_positions": [[0.000, 0.000, 0.000], [0.092, 0.092, 0.723], [0.908, 0.908, 0.277], [0.500, 0.500, 0.500]],
  "dos_at_fermi_per_ev_cell": 1.5,
  "sg": "R-3m",
  "total_energy_ev_per_atom": -2.7259,
  "formation_energy_kj_per_mol_atoms": 24,
  "crystal_system": "trigonal"
}

---

11.
{
  "formula": "CrRuPtW",
  "functional": "PBE-GGA",
  "state": "optimized geometry",
  "cell": [[3.791, 0.000, 0.000], [0.000, 3.923, 0.000], [0.000, 0.000, 3.858]],
  "species": ["Pt", "W", "Ru", "Cr"],
  "fractional_positions": [[0.000, 0.000, 0.000], [0.000, 0.500, 0.500], [0.500, 0.500, 0.000], [0.500, 0.000, 0.500]],
  "dos_at_fermi_per_ev_cell": 4.1,
  "sg": "Pmmm",
  "total_energy_ev_per_atom": -9.6003,
  "formation_energy_kj_per_mol_atoms": -12,
  "crystal_system": "orthorhombic"
}

---

12.
{
  "formula": "LaTaCr2",
  "functional": "PBE-GGA",
  "state": "optimized geometry",
  "cell": [[-1.765, 5.079, -0.881], [-2.894, 0.679, -4.567], [-0.129, -3.479, 4.192]],
  "species": ["Cr", "Cr", "Ta", "La"],
  "fractional_positions": [[0.250, 0.750, 0.500], [0.000, 0.000, 0.000], [0.750, 0.250, 0.500], [0.500, 0.500, 0.000]],
  "dos_at_fermi_per_ev_cell": 3.8,
  "sg": "I-4m2",
  "total_energy_ev_per_atom": -8.2049,
  "e_above_lowest_polymorph_ev_per_atom": 0.4068,
  "formation_energy_kj_per_mol_atoms": 77,
  "crystal_system": "tetragonal"
}